A relaxed Li2PaTlF8 crystal, computed with PBE-GGA.

Computed properties:
Magnetic moment in Bohr magnetons per cell: 0.105
Crystal system: trigonal
Raw total energy in eV/atom: -5.6057
Formation energy from raw total energies in eV/atom: -3.051

Lattice parameters (Å, degrees): 5.5893 5.5893 8.0430 90.00 90.00 120.00
Closest atoms and distances in Å follow each position.
Space group P-3m1 (No. 164)
Unique sites:
Li 0.3333 0.6667 0.1812 x2  1 F 1.75
Pa 0.0000 0.0000 0.5000 x1  6 F 2.11
Tl 0.0000 0.0000 0.0000 x1  12 F 3.18-3.24, 6 Li 3.54
F 0.1711 0.3423 0.3381 x6  1 Li 2.01, 1 Pa 2.11
F 0.3333 0.6667 0.9631 x2  1 Li 1.75


A relaxed LiPbF2 crystal, computed with PBE-GGA.

Computed properties:
DOS at the Fermi energy in states/eV/atom: 0.235
Magnetic moment in Bohr magnetons per cell: 0.001
Crystal system: tetragonal
Raw total energy in eV/atom: -4.4008
E above lowest polymorph in eV/atom: 0.1228
Formation energy from raw total energies in eV/atom: -2.060

Lattice parameters (Å, degrees): 5.2703 5.2703 9.4513 90.00 90.00 90.00
Closest atoms and distances in Å follow each position.
Space group I-42d (No. 122)
Unique sites:
Li 0.0000 0.0000 0.0000 x4  4 F 1.89
Pb 0.0000 0.0000 0.5000 x4  4 F 2.66
F 0.1235 0.2500 0.1250 x8  2 Li 1.89


A relaxed LiPbF crystal, computed with PBE-GGA.

Computed properties:
DOS at the Fermi energy in states/eV/atom: 0.250
Magnetic moment in Bohr magnetons per cell: 0.000
Crystal system: monoclinic
Raw total energy in eV/atom: -4.1836
E above lowest polymorph in eV/atom: 0.0325
Formation energy from raw total energies in eV/atom: -1.686

Lattice parameters (Å, degrees): 16.3055 3.0174 5.2746 90.00 92.68 90.00
Closest atoms and distances in Å follow each position.
Space group C2/m (No. 12)
Unique sites:
Li 0.0000 0.0000 0.0000 x2  4 F 2.00
Li 0.0000 0.0000 0.5000 x2  4 F 2.00
Pb 0.2027 0.5000 0.2436 x4  2 Pb 3.02, 1 F 3.30
F 0.0004 0.5000 0.2501 x4  4 Li 2.00


A relaxed LiPb2F crystal, computed with PBE-GGA.

Computed properties:
DOS at the Fermi energy in states/eV/atom: 0.518
Magnetic moment in Bohr magnetons per cell: 0.000
Crystal system: tetragonal
Raw total energy in eV/atom: -3.4018
E above lowest polymorph in eV/atom: 0.0000
Formation energy from raw total energies in eV/atom: -0.601

Lattice parameters (Å, degrees): 4.8312 4.8312 17.3958 90.00 90.00 90.00
Closest atoms and distances in Å follow each position.
Space group I-42d (No. 122)
Unique sites:
Li 0.0000 0.0000 0.0000 x4  4 Pb 2.87
Pb 0.2033 0.2500 0.6250 x8  2 F 2.67, 2 Li 2.87
F 0.0000 0.0000 0.5000 x4  4 Pb 2.67


A relaxed LiPbF3 crystal, computed with PBE-GGA.

Computed properties:
DOS at the Fermi energy in states/eV/atom: 0.000
Magnetic moment in Bohr magnetons per cell: 0.000
Crystal system: cubic
Raw total energy in eV/atom: -4.3615
E above lowest polymorph in eV/atom: 0.4547
Formation energy from raw total energies in eV/atom: -2.114

Lattice parameters (Å, degrees): 4.7993 4.7993 4.7993 90.00 90.00 90.00
Closest atoms and distances in Å follow each position.
Space group Pm-3m (No. 221)
Unique sites:
Li 0.0000 0.0000 0.0000 x1  12 F 3.39
Pb 0.5000 0.5000 0.5000 x1  6 F 2.40
F 0.0000 0.5000 0.5000 x3  2 Pb 2.40


A relaxed LiPb2F6 crystal, computed with PBE-GGA.

Computed properties:
DOS at the Fermi energy in states/eV/atom: 0.755
Magnetic moment in Bohr magnetons per cell: 0.000
Crystal system: orthorhombic
Raw total energy in eV/atom: -4.5701
Formation energy from raw total energies in eV/atom: -2.286

Lattice parameters (Å, degrees): 4.0883 5.6001 11.9595 90.00 90.00 90.00
Closest atoms and distances in Å follow each position.
Space group Immm (No. 71)
Unique sites:
Li 0.0000 0.0000 0.0000 x2  8 F 2.40-2.47
Pb 0.0000 0.0000 0.3397 x4  8 F 2.38-2.53
F 0.0000 0.2497 0.1635 x8  1 Li 2.40, 3 Pb 2.48-2.53
F 0.0000 0.2518 0.5000 x4  2 Pb 2.38, 2 Li 2.47